Entry 1:
Computed, not measured: Ta2TeRh after structural relaxation at the GGA-PBEsol level of DFT.

## Properties
The crystal system is trigonal. As for the formation energy (no corrections): 0.02 eV per atom. Its symmetry is No. 160. The calculated volume comes out at 18.77 Å³ per atom.

a = 8.622 Å, b = 8.622 Å, c = 8.622 Å
α = 21.45°, β = 21.45°, γ = 21.45°
Sites, in units of the cell vectors:
1 Ta 0.000 0.000 0.000
2 Ta 0.247 0.247 0.247
3 Te 0.749 0.749 0.749
4 Rh 0.509 0.509 0.509

Entry 2:
Computed, not measured: Sr2RhAu after structural relaxation at the GGA-PBEsol level of DFT.

## Properties
The crystal system is monoclinic. Its symmetry is No. 12. The calculated formation energy is -0.146 eV/atom. The calculated volume comes out at 26.99 Å³ per atom.

a = 4.287 Å, b = 4.287 Å, c = 7.835 Å
α = 100.57°, β = 100.57°, γ = 49.97°
Sites, in units of the cell vectors:
1 Sr 0.247 0.247 0.227
2 Sr 0.753 0.753 0.773
3 Rh 0.500 0.500 0.000
4 Au 0.000 0.000 0.500

Entry 3:
Computed, not measured: HgHRu3 after structural relaxation at the GGA-PBEsol level of DFT.

## Properties
The crystal system is cubic. Its symmetry is No. 221. The calculated volume comes out at 12.27 Å³ per atom. The value obtained for the total energy is -6.41 eV per atom.

a = 3.944 Å, b = 3.944 Å, c = 3.944 Å
α = 90.00°, β = 90.00°, γ = 90.00°
Sites, in units of the cell vectors:
1 Hg 0.000 0.000 0.000
2 H 0.500 0.500 0.500
3 Ru 0.000 0.500 0.500
4 Ru 0.500 0.000 0.500
5 Ru 0.500 0.500 0.000

Entry 4:
Computed, not measured: Li2Ni3BiO8 after structural relaxation at the GGA-PBEsol level of DFT.

## Properties
The crystal system is cubic. As for the formation energy (no corrections): -1.11 eV per atom. Its symmetry is No. 212. The calculated volume comes out at 10.46 Å³ per atom.

a = 8.368 Å, b = 8.368 Å, c = 8.368 Å
α = 90.00°, β = 90.00°, γ = 90.00°
Sites, in units of the cell vectors:
1 Li 0.003 0.497 0.503
2 Li 0.247 0.747 0.753
3 Li 0.253 0.253 0.253
4 Li 0.497 0.503 0.003
5 Li 0.503 0.003 0.497
6 Li 0.747 0.753 0.247
7 Li 0.753 0.247 0.747
8 Li 0.997 0.997 0.997
9 Ni 0.113 0.137 0.625
10 Ni 0.125 0.387 0.863
11 Ni 0.137 0.625 0.113
12 Ni 0.363 0.375 0.613
13 Ni 0.375 0.613 0.363
14 Ni 0.387 0.863 0.125
15 Ni 0.613 0.363 0.375
16 Ni 0.625 0.113 0.137
17 Ni 0.637 0.875 0.887
18 Ni 0.863 0.125 0.387
19 Ni 0.875 0.887 0.637
20 Ni 0.887 0.637 0.875
21 Bi 0.125 0.875 0.375
22 Bi 0.375 0.125 0.875
23 Bi 0.625 0.625 0.625
24 Bi 0.875 0.375 0.125
25 O 0.094 0.132 0.390
26 O 0.110 0.906 0.632
27 O 0.114 0.614 0.886
28 O 0.118 0.156 0.860
29 O 0.132 0.390 0.094
30 O 0.136 0.364 0.636
31 O 0.140 0.618 0.344
32 O 0.156 0.860 0.118
33 O 0.344 0.140 0.618
34 O 0.360 0.382 0.844
35 O 0.364 0.636 0.136
36 O 0.368 0.610 0.594
37 O 0.382 0.844 0.360
38 O 0.386 0.386 0.386
39 O 0.390 0.094 0.132
40 O 0.406 0.868 0.890
41 O 0.594 0.368 0.610
42 O 0.610 0.594 0.368
43 O 0.614 0.886 0.114
44 O 0.618 0.344 0.140
45 O 0.632 0.110 0.906
46 O 0.636 0.136 0.364
47 O 0.640 0.882 0.656
48 O 0.656 0.640 0.882
49 O 0.844 0.360 0.382
50 O 0.860 0.118 0.156
51 O 0.864 0.864 0.864
52 O 0.868 0.890 0.406
53 O 0.882 0.656 0.640
54 O 0.886 0.114 0.614
55 O 0.890 0.406 0.868
56 O 0.906 0.632 0.110

Entry 5:
Computed, not measured: SrLi2P after structural relaxation at the GGA-PBEsol level of DFT.

## Properties
The crystal system is orthorhombic. Its symmetry is No. 47. The calculated formation energy is -0.208 eV/atom. The calculated volume comes out at 21.30 Å³ per atom.

a = 3.347 Å, b = 4.038 Å, c = 6.303 Å
α = 90.00°, β = 90.00°, γ = 90.00°
Sites, in units of the cell vectors:
1 Sr 0.000 0.000 0.000
2 Li 0.500 0.500 0.323
3 Li 0.500 0.500 0.677
4 P 0.000 0.000 0.500

Entry 6:
Computed, not measured: LiAu3I after structural relaxation at the GGA-PBEsol level of DFT.

## Properties
The crystal system is cubic. As for the formation energy (no corrections): 0.72 eV per atom. Its symmetry is No. 221. The calculated volume comes out at 30.10 Å³ per atom.

a = 5.319 Å, b = 5.319 Å, c = 5.319 Å
α = 90.00°, β = 90.00°, γ = 90.00°
Sites, in units of the cell vectors:
1 Li 0.000 0.000 0.000
2 Au 0.000 0.500 0.500
3 Au 0.500 0.000 0.500
4 Au 0.500 0.500 0.000
5 I 0.500 0.500 0.500

Entry 7:
Computed, not measured: Sc2NiHg after structural relaxation at the GGA-PBEsol level of DFT.

## Properties
The crystal system is tetragonal. Its symmetry is No. 123. The calculated formation energy is -0.513 eV/atom. The calculated volume comes out at 17.96 Å³ per atom.

a = 3.217 Å, b = 3.217 Å, c = 6.943 Å
α = 90.00°, β = 90.00°, γ = 90.00°
Sites, in units of the cell vectors:
1 Sc 0.000 0.000 0.216
2 Sc 0.000 0.000 0.784
3 Ni 0.500 0.500 0.000
4 Hg 0.500 0.500 0.500

Entry 8:
Computed, not measured: AgSnP2 after structural relaxation at the GGA-PBEsol level of DFT.

## Properties
The crystal system is tetragonal. Its symmetry is No. 122. The calculated formation energy is 0.147 eV/atom. The calculated volume comes out at 23.32 Å³ per atom.

a = 6.939 Å, b = 6.939 Å, c = 6.939 Å
α = 130.93°, β = 130.93°, γ = 71.92°
Sites, in units of the cell vectors:
1 Ag 0.000 0.000 0.000
2 Ag 0.750 0.250 0.500
3 Sn 0.250 0.750 0.500
4 Sn 0.500 0.500 0.000
5 P 0.110 0.625 0.985
6 P 0.375 0.360 0.485
7 P 0.640 0.125 0.015
8 P 0.875 0.890 0.515

Entry 9:
Computed, not measured: GdIn after structural relaxation at the GGA-PBEsol level of DFT.

## Properties
The crystal system is cubic. Its symmetry is No. 221. The calculated formation energy is -0.535 eV/atom. The calculated volume comes out at 25.94 Å³ per atom.

a = 3.730 Å, b = 3.730 Å, c = 3.730 Å
α = 90.00°, β = 90.00°, γ = 90.00°
Sites, in units of the cell vectors:
1 Gd 0.000 0.000 0.000
2 In 0.500 0.500 0.500

Entry 10:
Computed, not measured: KLiIr4 after structural relaxation at the GGA-PBEsol level of DFT.

## Properties
The crystal system is cubic. Its symmetry is No. 216. The calculated formation energy is 0.511 eV/atom. The calculated volume comes out at 17.11 Å³ per atom.

a = 5.255 Å, b = 5.255 Å, c = 5.255 Å
α = 60.00°, β = 60.00°, γ = 60.00°
Sites, in units of the cell vectors:
1 K 0.000 0.000 0.000
2 Li 0.750 0.750 0.750
3 Ir 0.375 0.375 0.375
4 Ir 0.375 0.375 0.874
5 Ir 0.375 0.874 0.375
6 Ir 0.874 0.375 0.375

Entry 11:
Computed, not measured: CaIn2Au after structural relaxation at the GGA-PBEsol level of DFT.

## Properties
The crystal system is tetragonal. Its symmetry is No. 123. The calculated formation energy is -0.376 eV/atom. The calculated volume comes out at 23.03 Å³ per atom.

a = 3.460 Å, b = 3.460 Å, c = 7.696 Å
α = 90.00°, β = 90.00°, γ = 90.00°
Sites, in units of the cell vectors:
1 Ca 0.000 0.000 0.000
2 In 0.500 0.500 0.290
3 In 0.500 0.500 0.710
4 Au 0.000 0.000 0.500

Entry 12:
Computed, not measured: Sb2RhCl after structural relaxation at the GGA-PBEsol level of DFT.

## Properties
The crystal system is tetragonal. As for the formation energy (no corrections): 0.39 eV per atom. Its symmetry is No. 123. The calculated volume comes out at 20.52 Å³ per atom.

a = 4.153 Å, b = 4.153 Å, c = 4.759 Å
α = 90.00°, β = 90.00°, γ = 90.00°
Sites, in units of the cell vectors:
1 Sb 0.000 0.500 0.000
2 Sb 0.500 0.000 0.000
3 Rh 0.000 0.000 0.500
4 Cl 0.500 0.500 0.500

Entry 13:
Computed, not measured: La2ZnCo after structural relaxation at the GGA-PBEsol level of DFT.

## Properties
The crystal system is trigonal. Its symmetry is No. 166. The calculated formation energy is -0.038 eV/atom. The calculated volume comes out at 25.22 Å³ per atom.

a = 8.084 Å, b = 8.084 Å, c = 8.084 Å
α = 27.71°, β = 27.71°, γ = 27.71°
Sites, in units of the cell vectors:
1 La 0.234 0.234 0.234
2 La 0.766 0.766 0.766
3 Zn 0.000 0.000 0.000
4 Co 0.500 0.500 0.500

Entry 14:
Computed, not measured: Na6FeO4 after structural relaxation at the GGA-PBEsol level of DFT.

## Properties
The crystal system is tetragonal. As for the formation energy (no corrections): -1.15 eV per atom. Its symmetry is No. 137. The calculated volume comes out at 13.50 Å³ per atom.

a = 7.464 Å, b = 7.464 Å, c = 5.330 Å
α = 90.00°, β = 90.00°, γ = 90.00°
Sites, in units of the cell vectors:
1 Na 0.043 0.543 0.250
2 Na 0.043 0.957 0.250
3 Na 0.250 0.250 0.134
4 Na 0.250 0.250 0.634
5 Na 0.457 0.543 0.250
6 Na 0.457 0.957 0.250
7 Na 0.543 0.043 0.750
8 Na 0.543 0.457 0.750
9 Na 0.750 0.750 0.366
10 Na 0.750 0.750 0.866
11 Na 0.957 0.043 0.750
12 Na 0.957 0.457 0.750
13 Fe 0.250 0.750 0.750
14 Fe 0.750 0.250 0.250
15 O 0.005 0.750 0.594
16 O 0.250 0.505 0.906
17 O 0.250 0.995 0.906
18 O 0.495 0.750 0.594
19 O 0.505 0.250 0.406
20 O 0.750 0.005 0.094
21 O 0.750 0.495 0.094
22 O 0.995 0.250 0.406

Entry 15:
Computed, not measured: ReSi2Rh after structural relaxation at the GGA-PBEsol level of DFT.

## Properties
The crystal system is trigonal. As for the formation energy (no corrections): -0.16 eV per atom. Its symmetry is No. 160. The calculated volume comes out at 13.67 Å³ per atom.

a = 7.923 Å, b = 7.923 Å, c = 7.923 Å
α = 20.75°, β = 20.75°, γ = 20.75°
Sites, in units of the cell vectors:
1 Re 0.000 0.000 0.000
2 Si 0.255 0.255 0.255
3 Si 0.503 0.503 0.503
4 Rh 0.762 0.762 0.762

Entry 16:
Computed, not measured: MgH12SO9 after structural relaxation at the GGA-PBEsol level of DFT.

## Properties
The crystal system is trigonal. Its symmetry is No. 146. The calculated volume comes out at 8.60 Å³ per atom. The value obtained for the total energy is -5.31 eV per atom.

a = 5.858 Å, b = 5.858 Å, c = 5.858 Å
α = 95.70°, β = 95.70°, γ = 95.70°
Sites, in units of the cell vectors:
1 Mg 0.000 0.000 0.000
2 H 0.028 0.960 0.538
3 H 0.071 0.278 0.411
4 H 0.139 0.737 0.627
5 H 0.189 0.379 0.801
6 H 0.278 0.411 0.071
7 H 0.379 0.801 0.189
8 H 0.411 0.071 0.278
9 H 0.538 0.028 0.960
10 H 0.627 0.139 0.737
11 H 0.737 0.627 0.139
12 H 0.801 0.189 0.379
13 H 0.960 0.538 0.028
14 S 0.502 0.502 0.502
15 O 0.080 0.886 0.679
16 O 0.142 0.340 0.956
17 O 0.248 0.481 0.559
18 O 0.340 0.956 0.142
19 O 0.481 0.559 0.248
20 O 0.559 0.248 0.481
21 O 0.679 0.080 0.886
22 O 0.886 0.679 0.080
23 O 0.956 0.142 0.340

Entry 17:
Computed, not measured: TcNiIr after structural relaxation at the GGA-PBEsol level of DFT.

## Properties
The crystal system is orthorhombic. Its symmetry is No. 44. The calculated formation energy is -0.154 eV/atom. The calculated volume comes out at 12.81 Å³ per atom.

a = 4.521 Å, b = 4.521 Å, c = 4.521 Å
α = 145.62°, β = 131.96°, γ = 60.40°
Sites, in units of the cell vectors:
1 Tc 0.000 0.000 0.000
2 Ni 0.336 0.336 0.000
3 Ir 0.667 0.667 0.000

Entry 18:
Computed, not measured: K2YZr after structural relaxation at the GGA-PBEsol level of DFT.

## Properties
The crystal system is monoclinic. Its symmetry is No. 10. The calculated formation energy is 0.768 eV/atom. The calculated volume comes out at 34.00 Å³ per atom.

a = 3.324 Å, b = 6.919 Å, c = 5.915 Å
α = 90.00°, β = 91.66°, γ = 90.00°
Sites, in units of the cell vectors:
1 K 0.248 0.000 0.245
2 K 0.752 0.000 0.755
3 Y 0.000 0.500 0.500
4 Zr 0.500 0.500 0.000

Entry 19:
Computed, not measured: MgTaS2 after structural relaxation at the GGA-PBEsol level of DFT.

## Properties
The crystal system is trigonal. As for the formation energy (no corrections): -0.38 eV per atom. Its symmetry is No. 166. The calculated volume comes out at 19.79 Å³ per atom.

a = 7.897 Å, b = 7.897 Å, c = 7.897 Å
α = 25.30°, β = 25.30°, γ = 25.30°
Sites, in units of the cell vectors:
1 Mg 0.000 0.000 0.000
2 Ta 0.500 0.500 0.500
3 S 0.399 0.399 0.399
4 S 0.601 0.601 0.601

Entry 20:
Computed, not measured: Cs3MgB after structural relaxation at the GGA-PBEsol level of DFT.

## Properties
The crystal system is cubic. Its symmetry is No. 221. The calculated formation energy is 0.901 eV/atom. The calculated volume comes out at 53.39 Å³ per atom.

a = 6.439 Å, b = 6.439 Å, c = 6.439 Å
α = 90.00°, β = 90.00°, γ = 90.00°
Sites, in units of the cell vectors:
1 Cs 0.000 0.000 0.500
2 Cs 0.000 0.500 0.000
3 Cs 0.500 0.000 0.000
4 Mg 0.500 0.500 0.500
5 B 0.000 0.000 0.000